First-principles (PBE-GGA) data for a relaxed KP3Br crystal, as listed in Alexandria.

Formation energy from raw total energies: 1051 meV/atom
Magnetic moment: 0.3 μB per formula unit
DFT total energy: -2.7494 eV per atom

Lattice parameters (Å, degrees): 5.0703 5.0703 5.0703 90.00 90.00 90.00
Closest atoms and distances in Å follow each position.
Space group Pm-3m (No. 221)
Inequivalent atoms, fractional coordinates:
K 0.0000 0.0000 0.0000 [1 per cell]  12 P 3.59
P 0.0000 0.5000 0.5000 [3 per cell]  2 Br 2.54
Br 0.5000 0.5000 0.5000 [1 per cell]  6 P 2.54